1.
# LaGdCdSb | Alexandria via LeMat-Bulk | PBE | relaxed
# Formation energy (no corrections): -0.61 eV/atom
# Crystal system: cubic
data_LaGdCdSb
_symmetry_space_group_name_H-M 'F -4 3 m'
_symmetry_Int_Tables_number 216
_symmetry_space_group_name_Hall 'F -4 2 3'
_cell_length_a 7.7198
_cell_length_b 7.7198
_cell_length_c 7.7198
_cell_angle_alpha 90.00
_cell_angle_beta 90.00
_cell_angle_gamma 90.00
loop_
_atom_site_label
_atom_site_type_symbol
_atom_site_fract_x
_atom_site_fract_y
_atom_site_fract_z
_atom_site_occupancy
La1 La 0.0000 0.0000 0.0000 1
Gd1 Gd 0.0000 0.0000 0.5000 1
Cd1 Cd 0.2500 0.2500 0.2500 1
Sb1 Sb 0.2500 0.2500 0.7500 1

---

2.
# Ir2SeI | Alexandria via LeMat-Bulk | PBE | relaxed
# Formation energy (no corrections): 0.55 eV/atom
# Crystal system: tetragonal
data_Ir2SeI
_symmetry_space_group_name_H-M 'I -4 2 d'
_symmetry_Int_Tables_number 122
_symmetry_space_group_name_Hall 'I -4 2bw'
_cell_length_a 4.9221
_cell_length_b 4.9221
_cell_length_c 14.7670
_cell_angle_alpha 90.00
_cell_angle_beta 90.00
_cell_angle_gamma 90.00
loop_
_atom_site_label
_atom_site_type_symbol
_atom_site_fract_x
_atom_site_fract_y
_atom_site_fract_z
_atom_site_occupancy
Ir1 Ir 0.1684 0.2500 0.1250 1
Se1 Se 0.0000 0.0000 0.0000 1
I1 I 0.0000 0.0000 0.5000 1

---

3.
# AcTlSeI | Alexandria via LeMat-Bulk | PBE | relaxed
# Formation energy (no corrections): -0.95 eV/atom
# Crystal system: cubic
data_AcTlSeI
_symmetry_space_group_name_H-M 'F -4 3 m'
_symmetry_Int_Tables_number 216
_symmetry_space_group_name_Hall 'F -4 2 3'
_cell_length_a 7.9969
_cell_length_b 7.9969
_cell_length_c 7.9969
_cell_angle_alpha 90.00
_cell_angle_beta 90.00
_cell_angle_gamma 90.00
loop_
_atom_site_label
_atom_site_type_symbol
_atom_site_fract_x
_atom_site_fract_y
_atom_site_fract_z
_atom_site_occupancy
Ac1 Ac 0.0000 0.0000 0.0000 1
Tl1 Tl 0.0000 0.0000 0.5000 1
Se1 Se 0.2500 0.2500 0.2500 1
I1 I 0.2500 0.2500 0.7500 1

---

4.
# PmPrYZr | Alexandria via LeMat-Bulk | PBE | relaxed
# E_form: 0.874 eV/f.u.
# Crystal system: cubic
data_PmPrYZr
_symmetry_space_group_name_H-M 'F -4 3 m'
_symmetry_Int_Tables_number 216
_symmetry_space_group_name_Hall 'F -4 2 3'
_cell_length_a 7.8775
_cell_length_b 7.8775
_cell_length_c 7.8775
_cell_angle_alpha 90.00
_cell_angle_beta 90.00
_cell_angle_gamma 90.00
loop_
_atom_site_label
_atom_site_type_symbol
_atom_site_fract_x
_atom_site_fract_y
_atom_site_fract_z
_atom_site_occupancy
Pm1 Pm 0.0000 0.0000 0.0000 1
Pr1 Pr 0.0000 0.0000 0.5000 1
Y1 Y 0.2500 0.2500 0.2500 1
Zr1 Zr 0.2500 0.2500 0.7500 1

---

5.
# MnSiOs2 | Alexandria via LeMat-Bulk | PBE | relaxed
# Formation energy (no corrections): 0.29 eV/atom
# Crystal system: orthorhombic
data_MnSiOs2
_symmetry_space_group_name_H-M 'C m m 2'
_symmetry_Int_Tables_number 35
_symmetry_space_group_name_Hall 'C 2 -2'
_cell_length_a 2.8229
_cell_length_b 4.6249
_cell_length_c 8.3526
_cell_angle_alpha 90.00
_cell_angle_beta 90.00
_cell_angle_gamma 90.00
loop_
_atom_site_label
_atom_site_type_symbol
_atom_site_fract_x
_atom_site_fract_y
_atom_site_fract_z
_atom_site_occupancy
Mn1 Mn 0.0000 0.0000 0.0000 1
Si1 Si 0.0000 0.5000 0.2269 1
Os1 Os 0.0000 0.0000 0.4615 1
Os2 Os 0.0000 0.5000 0.7468 1

---

6.
# TmAlCuOs | Alexandria via LeMat-Bulk | PBE | relaxed
# E_form: -0.914 eV/f.u.
# Crystal system: cubic
data_TmAlCuOs
_symmetry_space_group_name_H-M 'F -4 3 m'
_symmetry_Int_Tables_number 216
_symmetry_space_group_name_Hall 'F -4 2 3'
_cell_length_a 6.4160
_cell_length_b 6.4160
_cell_length_c 6.4160
_cell_angle_alpha 90.00
_cell_angle_beta 90.00
_cell_angle_gamma 90.00
loop_
_atom_site_label
_atom_site_type_symbol
_atom_site_fract_x
_atom_site_fract_y
_atom_site_fract_z
_atom_site_occupancy
Tm1 Tm 0.0000 0.0000 0.0000 1
Al1 Al 0.0000 0.0000 0.5000 1
Cu1 Cu 0.2500 0.2500 0.7500 1
Os1 Os 0.2500 0.2500 0.2500 1

---

7.
# Fe3Pt2Rh3 | Alexandria via LeMat-Bulk | PBE | relaxed
# E_form: -1.096 eV/f.u.
# Crystal system: orthorhombic
data_Fe3Pt2Rh3
_symmetry_space_group_name_H-M 'P m m m'
_symmetry_Int_Tables_number 47
_symmetry_space_group_name_Hall '-P 2 2'
_cell_length_a 3.8328
_cell_length_b 3.8401
_cell_length_c 7.5424
_cell_angle_alpha 90.00
_cell_angle_beta 90.00
_cell_angle_gamma 90.00
loop_
_atom_site_label
_atom_site_type_symbol
_atom_site_fract_x
_atom_site_fract_y
_atom_site_fract_z
_atom_site_occupancy
Fe1 Fe 0.0000 0.0000 0.0000 1
Fe2 Fe 0.0000 0.0000 0.5000 1
Fe3 Fe 0.5000 0.5000 0.0000 1
Pt1 Pt 0.0000 0.5000 0.2446 1
Rh1 Rh 0.5000 0.0000 0.2446 1
Rh2 Rh 0.5000 0.5000 0.5000 1

---

8.
# BaNaSr2Ni | Alexandria via LeMat-Bulk | PBE | relaxed
# E_form: 0.732 eV/f.u.
# Crystal system: tetragonal
data_BaNaSr2Ni
_symmetry_space_group_name_H-M 'P 4/m m m'
_symmetry_Int_Tables_number 123
_symmetry_space_group_name_Hall '-P 4 2'
_cell_length_a 5.8334
_cell_length_b 5.8334
_cell_length_c 6.1308
_cell_angle_alpha 90.00
_cell_angle_beta 90.00
_cell_angle_gamma 90.00
loop_
_atom_site_label
_atom_site_type_symbol
_atom_site_fract_x
_atom_site_fract_y
_atom_site_fract_z
_atom_site_occupancy
Ba1 Ba 0.0000 0.0000 0.0000 1
Na1 Na 0.5000 0.5000 0.0000 1
Sr1 Sr 0.0000 0.5000 0.5000 1
Ni1 Ni 0.5000 0.5000 0.5000 1

---

9.
# SmHg2Pb | Alexandria via LeMat-Bulk | PBE | relaxed
# E_form: -1.537 eV/f.u.
# Crystal system: tetragonal
data_SmHg2Pb
_symmetry_space_group_name_H-M 'P 4/m m m'
_symmetry_Int_Tables_number 123
_symmetry_space_group_name_Hall '-P 4 2'
_cell_length_a 4.6350
_cell_length_b 4.6350
_cell_length_c 4.8889
_cell_angle_alpha 90.00
_cell_angle_beta 90.00
_cell_angle_gamma 90.00
loop_
_atom_site_label
_atom_site_type_symbol
_atom_site_fract_x
_atom_site_fract_y
_atom_site_fract_z
_atom_site_occupancy
Sm1 Sm 0.0000 0.0000 0.0000 1
Hg1 Hg 0.0000 0.5000 0.5000 1
Pb1 Pb 0.5000 0.5000 0.0000 1

---

10.
# ZrAgIr3 | Alexandria via LeMat-Bulk | PBE | relaxed
# E_form: 8.393 eV/f.u.
# Crystal system: cubic
data_ZrAgIr3
_symmetry_space_group_name_H-M 'P m -3 m'
_symmetry_Int_Tables_number 221
_symmetry_space_group_name_Hall '-P 4 2 3'
_cell_length_a 4.7310
_cell_length_b 4.7310
_cell_length_c 4.7310
_cell_angle_alpha 90.00
_cell_angle_beta 90.00
_cell_angle_gamma 90.00
loop_
_atom_site_label
_atom_site_type_symbol
_atom_site_fract_x
_atom_site_fract_y
_atom_site_fract_z
_atom_site_occupancy
Zr1 Zr 0.0000 0.0000 0.0000 1
Ag1 Ag 0.5000 0.5000 0.5000 1
Ir1 Ir 0.0000 0.5000 0.5000 1

---

11.
# Rb3LiCu2Cl9 | Alexandria via LeMat-Bulk | PBE | relaxed
# Formation energy (no corrections): -1.21 eV/atom
# Crystal system: trigonal
data_Rb3LiCu2Cl9
_symmetry_space_group_name_H-M 'P -3 m 1'
_symmetry_Int_Tables_number 164
_symmetry_space_group_name_Hall '-P 3 2"'
_cell_length_a 6.9883
_cell_length_b 6.9883
_cell_length_c 8.5997
_cell_angle_alpha 90.00
_cell_angle_beta 90.00
_cell_angle_gamma 120.00
loop_
_atom_site_label
_atom_site_type_symbol
_atom_site_fract_x
_atom_site_fract_y
_atom_site_fract_z
_atom_site_occupancy
Rb1 Rb 0.0000 0.0000 0.0000 1
Rb2 Rb 0.3333 0.6667 0.6581 1
Li1 Li 0.0000 0.0000 0.5000 1
Cu1 Cu 0.3333 0.6667 0.1661 1
Cl1 Cl 0.0000 0.5000 0.0000 1
Cl2 Cl 0.1711 0.3423 0.3194 1

---

12.
# Pr2MgSnPd6 | Alexandria via LeMat-Bulk | PBE | relaxed
# E_form: -6.094 eV/f.u.
# Crystal system: triclinic
data_Pr2MgSnPd6
_symmetry_space_group_name_H-M 'P -1'
_symmetry_Int_Tables_number 2
_symmetry_space_group_name_Hall '-P 1'
_cell_length_a 5.6456
_cell_length_b 6.6280
_cell_length_c 6.7104
_cell_angle_alpha 72.15
_cell_angle_beta 65.20
_cell_angle_gamma 64.92
loop_
_atom_site_label
_atom_site_type_symbol
_atom_site_fract_x
_atom_site_fract_y
_atom_site_fract_z
_atom_site_occupancy
Pr1 Pr 0.0008 0.2493 0.2482 1
Mg1 Mg 0.5000 0.0000 0.5000 1
Sn1 Sn 0.5000 0.5000 0.0000 1
Pd1 Pd 0.0033 0.1914 0.8042 1
Pd2 Pd 0.3117 0.4336 0.4425 1
Pd3 Pd 0.4995 0.1915 0.8049 1

---

13.
# RbIrOs | Alexandria via LeMat-Bulk | PBE | relaxed
# E_form: 2.784 eV/f.u.
# Crystal system: orthorhombic
data_RbIrOs
_symmetry_space_group_name_H-M 'P n m a'
_symmetry_Int_Tables_number 62
_symmetry_space_group_name_Hall '-P 2ac 2n'
_cell_length_a 8.3068
_cell_length_b 4.3928
_cell_length_c 7.6026
_cell_angle_alpha 90.00
_cell_angle_beta 90.00
_cell_angle_gamma 90.00
loop_
_atom_site_label
_atom_site_type_symbol
_atom_site_fract_x
_atom_site_fract_y
_atom_site_fract_z
_atom_site_occupancy
Rb1 Rb 0.0027 0.2500 0.1457 1
Ir1 Ir 0.1469 0.2500 0.5762 1
Os1 Os 0.1444 0.7500 0.4255 1

---

14.
# PuTePd2 | Alexandria via LeMat-Bulk | PBE | relaxed
# Formation energy (no corrections): -0.50 eV/atom
# Crystal system: cubic
data_PuTePd2
_symmetry_space_group_name_H-M 'F m -3 m'
_symmetry_Int_Tables_number 225
_symmetry_space_group_name_Hall '-F 4 2 3'
_cell_length_a 6.9184
_cell_length_b 6.9184
_cell_length_c 6.9184
_cell_angle_alpha 90.00
_cell_angle_beta 90.00
_cell_angle_gamma 90.00
loop_
_atom_site_label
_atom_site_type_symbol
_atom_site_fract_x
_atom_site_fract_y
_atom_site_fract_z
_atom_site_occupancy
Pu1 Pu 0.0000 0.0000 0.0000 1
Te1 Te 0.0000 0.0000 0.5000 1
Pd1 Pd 0.2500 0.2500 0.2500 1

---

15.
# Pa2CuS5 | Alexandria via LeMat-Bulk | PBE | relaxed
# Formation energy (no corrections): -1.32 eV/atom
# Crystal system: monoclinic
data_Pa2CuS5
_symmetry_space_group_name_H-M 'C 1 2/c 1'
_symmetry_Int_Tables_number 15
_symmetry_space_group_name_Hall '-C 2yc'
_cell_length_a 14.6372
_cell_length_b 6.1908
_cell_length_c 7.0602
_cell_angle_alpha 90.00
_cell_angle_beta 96.91
_cell_angle_gamma 90.00
loop_
_atom_site_label
_atom_site_type_symbol
_atom_site_fract_x
_atom_site_fract_y
_atom_site_fract_z
_atom_site_occupancy
Pa1 Pa 0.1077 0.2131 0.0863 1
Cu1 Cu 0.2500 0.2500 0.5000 1
S1 S 0.0000 0.0869 0.7500 1
S2 S 0.0873 0.3854 0.4234 1
S3 S 0.2201 0.0824 0.8160 1

---

16.
# CuMoPb2 | Alexandria via LeMat-Bulk | PBE | relaxed
# E_form: 2.863 eV/f.u.
# Crystal system: tetragonal
data_CuMoPb2
_symmetry_space_group_name_H-M 'I 4/m m m'
_symmetry_Int_Tables_number 139
_symmetry_space_group_name_Hall '-I 4 2'
_cell_length_a 4.3909
_cell_length_b 4.3909
_cell_length_c 8.4799
_cell_angle_alpha 90.00
_cell_angle_beta 90.00
_cell_angle_gamma 90.00
loop_
_atom_site_label
_atom_site_type_symbol
_atom_site_fract_x
_atom_site_fract_y
_atom_site_fract_z
_atom_site_occupancy
Cu1 Cu 0.0000 0.0000 0.0000 1
Mo1 Mo 0.0000 0.0000 0.5000 1
Pb1 Pb 0.0000 0.5000 0.2500 1

---

17.
# Na2MnCuSe4 | Alexandria via LeMat-Bulk | PBE | relaxed
# Formation energy (no corrections): -0.54 eV/atom
# Crystal system: orthorhombic
data_Na2MnCuSe4
_symmetry_space_group_name_H-M 'I m m a'
_symmetry_Int_Tables_number 74
_symmetry_space_group_name_Hall '-I 2b 2'
_cell_length_a 7.5576
_cell_length_b 7.6820
_cell_length_c 11.6910
_cell_angle_alpha 90.00
_cell_angle_beta 90.00
_cell_angle_gamma 90.00
loop_
_atom_site_label
_atom_site_type_symbol
_atom_site_fract_x
_atom_site_fract_y
_atom_site_fract_z
_atom_site_occupancy
Na1 Na 0.0000 0.0000 0.0000 1
Na2 Na 0.2500 0.2500 0.2500 1
Mn1 Mn 0.2500 0.2500 0.7500 1
Cu1 Cu 0.0000 0.0000 0.5000 1
Se1 Se 0.0000 0.0344 0.7594 1
Se2 Se 0.2058 0.2500 0.5296 1

---

18.
# Pu2Ga5Pd | Alexandria via LeMat-Bulk | PBE | relaxed
# E_form: -2.625 eV/f.u.
# Crystal system: tetragonal
data_Pu2Ga5Pd
_symmetry_space_group_name_H-M 'I 4/m m m'
_symmetry_Int_Tables_number 139
_symmetry_space_group_name_Hall '-I 4 2'
_cell_length_a 4.7002
_cell_length_b 4.7002
_cell_length_c 13.9260
_cell_angle_alpha 90.00
_cell_angle_beta 90.00
_cell_angle_gamma 90.00
loop_
_atom_site_label
_atom_site_type_symbol
_atom_site_fract_x
_atom_site_fract_y
_atom_site_fract_z
_atom_site_occupancy
Pu1 Pu 0.0000 0.0000 0.2475 1
Ga1 Ga 0.0000 0.0000 0.0000 1
Ga2 Ga 0.0000 0.5000 0.1034 1
Pd1 Pd 0.0000 0.0000 0.5000 1

---

19.
# B2C | Alexandria via LeMat-Bulk | PBE | relaxed
# E_form: 0.889 eV/f.u.
# Crystal system: monoclinic
data_B2C
_symmetry_space_group_name_H-M 'C 1 2/m 1'
_symmetry_Int_Tables_number 12
_symmetry_space_group_name_Hall '-C 2y'
_cell_length_a 9.2820
_cell_length_b 2.6971
_cell_length_c 8.1950
_cell_angle_alpha 90.00
_cell_angle_beta 109.68
_cell_angle_gamma 90.00
loop_
_atom_site_label
_atom_site_type_symbol
_atom_site_fract_x
_atom_site_fract_y
_atom_site_fract_z
_atom_site_occupancy
B1 B 0.0358 0.0000 0.4138 1
B2 B 0.0933 0.0000 0.0042 1
B3 B 0.0950 0.5000 0.8313 1
B4 B 0.1815 0.5000 0.2348 1
C1 C 0.0598 0.5000 0.3327 1
C2 C 0.2340 0.0000 0.1738 1

---

20.
# AcPr2S4 | Alexandria via LeMat-Bulk | PBE | relaxed
# Formation energy (no corrections): -2.08 eV/atom
# Crystal system: orthorhombic
data_AcPr2S4
_symmetry_space_group_name_H-M 'C m c m'
_symmetry_Int_Tables_number 63
_symmetry_space_group_name_Hall '-C 2c 2'
_cell_length_a 4.0958
_cell_length_b 13.6409
_cell_length_c 13.7226
_cell_angle_alpha 90.00
_cell_angle_beta 90.00
_cell_angle_gamma 90.00
loop_
_atom_site_label
_atom_site_type_symbol
_atom_site_fract_x
_atom_site_fract_y
_atom_site_fract_z
_atom_site_occupancy
Ac1 Ac 0.0000 0.1223 0.2500 1
Pr1 Pr 0.0000 0.3712 0.0664 1
S1 S 0.0000 0.0000 0.0000 1
S2 S 0.0000 0.2732 0.6209 1
S3 S 0.0000 0.4652 0.2500 1